# CrCd2Rh, optimized geometry, DFT PBE-GGA
# Theoretical density, g/cm3: 9.310
# E_tot, eV/atom: -4.4328
# Space group: Pm, No. 6
data_CrCd2Rh
_chemical_formula_sum 'Cr1 Cd2 Rh1'
_cell_length_a 4.231
_cell_length_b 2.853
_cell_length_c 5.777
_cell_angle_alpha 76.20
_cell_angle_beta 90.00
_cell_angle_gamma 90.00
_space_group_name_H-M_alt 'P 1'
_space_group_IT_number 1
_space_group_name_Hall 'P 1'
loop_
_atom_site_label
_atom_site_fract_x
_atom_site_fract_y
_atom_site_fract_z
Rh1 0.500 0.617 0.718
Cr1 0.000 0.630 0.532
Cd1 0.500 0.291 0.268
Cd2 0.000 0.962 0.982